Here is a geometry-optimized Pm4Pr2Dy2Ho structure from the Alexandria database. Energies are from PBE.

a = 5.137 Å, b = 8.124 Å, c = 8.087 Å
α = 107.58°, β = 90.00°, γ = 108.43°
Element x y z (fractional)
Pm1 0.221 0.443 0.330
Dy1 0.334 0.667 0.000
Pm2 0.779 0.557 0.670
Ho1 0.000 0.000 0.000
Pr1 0.112 0.223 0.669
Pm3 0.444 0.889 0.670
Dy2 0.666 0.333 0.000
Pr2 0.888 0.777 0.331
Pm4 0.556 0.111 0.330

DOS at the Fermi energy: 1.5942 states/eV/atom
Raw total energy: -4.685 eV/atom
Total moment: 0.0 μB/f.u.
ΔE_f: 17 kJ/mol of formula units